[1]
Material: PmAl2Fe2C
Method: DFT, PBE
State: relaxed

The value obtained for the total moment is 0.00 μB/f.u. The value obtained for the volume is 85.44 Å³/cell. As for the formation energy: -0.296 eV per atom. The uncorrected energy is -40.2 eV per cell.

The space group is P4/mmm (No. 123) and the conventional cell measures 3.884, 3.884 and 5.664 Å, with angles of 90.00, 90.00 and 90.00 degrees. Symmetry generates all atoms from Pm at (0.000, 0.000, 0.000), Al at (0.500, 0.500, 0.239), Fe at (0.000, 0.500, 0.500) and C at (0.000, 0.000, 0.500).

=====

[2]
Material: Pm2Al2Fe2C
Method: DFT, PBE
State: relaxed

The value obtained for the total moment is 0.00 μB/f.u. The value obtained for the volume is 251.15 Å³/cell. As for the formation energy: -0.317 eV per atom. The uncorrected energy is -90.7 eV per cell.

The space group is C2/m (No. 12) and the conventional cell measures 11.046, 4.105 and 7.239 Å, with angles of 90.00, 130.09 and 90.00 degrees. Symmetry generates all atoms from Pm at (0.055, 0.000, 0.325), Al at (0.169, 0.500, 0.106), Fe at (0.190, 0.500, 0.793) and C at (0.000, 0.500, 0.500).

=====

[3]
Material: Pr2Al2Fe2C
Method: DFT, PBE
State: relaxed

The value obtained for the total moment is 0.00 μB/f.u. The value obtained for the volume is 259.25 Å³/cell. As for the formation energy: -0.280 eV per atom. The uncorrected energy is -90.3 eV per cell.

The space group is C2/m (No. 12) and the conventional cell measures 11.144, 4.156 and 7.343 Å, with angles of 90.00, 130.34 and 90.00 degrees. Symmetry generates all atoms from Pr at (0.056, 0.000, 0.325), Al at (0.172, 0.500, 0.105), Fe at (0.189, 0.500, 0.791) and C at (0.000, 0.500, 0.500).

=====

[4]
Material: PrAlFeC
Method: DFT, PBE
State: relaxed

The value obtained for the total moment is 0.00 μB/f.u. The value obtained for the volume is 127.95 Å³/cell. As for the formation energy: -0.018 eV per atom. The uncorrected energy is -52.6 eV per cell.

The space group is Amm2 (No. 38) and the conventional cell measures 3.208, 3.652 and 10.921 Å, with angles of 90.00, 90.00 and 90.00 degrees. Symmetry generates all atoms from Pr at (0.000, 0.000, 0.000), Al at (0.500, 0.000, 0.736), Fe at (0.000, 0.000, 0.279) and C at (0.500, 0.000, 0.367).

=====

[5]
Material: PrAl2Fe2C
Method: DFT, PBE
State: relaxed

The value obtained for the total moment is 0.00 μB/f.u. The value obtained for the volume is 87.18 Å³/cell. As for the formation energy: -0.267 eV per atom. The uncorrected energy is -40.0 eV per cell.

The space group is P4/mmm (No. 123) and the conventional cell measures 3.894, 3.894 and 5.748 Å, with angles of 90.00, 90.00 and 90.00 degrees. Symmetry generates all atoms from Pr at (0.000, 0.000, 0.000), Al at (0.500, 0.500, 0.242), Fe at (0.000, 0.500, 0.500) and C at (0.000, 0.000, 0.500).

=====

[6]
Material: PuAlFe2C
Method: DFT, PBE
State: relaxed

The value obtained for the total moment is 3.03 μB/f.u. The value obtained for the volume is 282.14 Å³/cell. As for the formation energy: -0.090 eV per atom. The uncorrected energy is -178.7 eV per cell.

The space group is Cmcm (No. 63) and the conventional cell measures 3.886, 10.657 and 6.813 Å, with angles of 90.00, 90.00 and 90.00 degrees. Symmetry generates all atoms from Pu at (0.000, 0.055, 0.250), Al at (0.000, 0.226, 0.750), Fe at (0.000, 0.336, 0.062) and C at (0.000, 0.500, 0.000).